[1]
DFT (GGA-PBE) results for a geometry-optimized NbZn3Ir structure.

```
data_NbZn3Ir
_chemical_formula_sum 'Nb1 Zn3 Ir1'
_cell_length_a 4.645
_cell_length_b 4.645
_cell_length_c 4.645
_cell_angle_alpha 90.00
_cell_angle_beta 90.00
_cell_angle_gamma 90.00
_space_group_name_H-M_alt 'P m -3 m'
_space_group_IT_number 221
_space_group_name_Hall '-P 4 2 3'
loop_
_atom_site_label
_atom_site_fract_x
_atom_site_fract_y
_atom_site_fract_z
Nb1 0.000 0.000 0.000
Zn1 0.000 0.500 0.500
Ir1 0.500 0.500 0.500
```

E_tot = -3.77 eV/atom
Calculated formation energy = 0.78 eV/atom

---

[2]
DFT (GGA-PBE) results for a geometry-optimized Mn2FeOs structure.

```
data_Mn2FeOs
_chemical_formula_sum 'Mn2 Fe1 Os1'
_cell_length_a 2.599
_cell_length_b 2.599
_cell_length_c 7.159
_cell_angle_alpha 90.00
_cell_angle_beta 90.00
_cell_angle_gamma 90.00
_space_group_name_H-M_alt 'P 4/m m m'
_space_group_IT_number 123
_space_group_name_Hall '-P 4 2'
loop_
_atom_site_label
_atom_site_fract_x
_atom_site_fract_y
_atom_site_fract_z
Mn1 0.000 0.000 0.241
Fe1 0.500 0.500 0.000
Os1 0.500 0.500 0.500
```

E_tot = -9.41 eV/atom
Calculated formation energy = 0.10 eV/atom

---

[3]
DFT (GGA-PBE) results for a geometry-optimized Sn6Te5 structure.

```
data_Sn6Te5
_chemical_formula_sum 'Sn12 Te10'
_cell_length_a 7.336
_cell_length_b 13.615
_cell_length_c 7.643
_cell_angle_alpha 90.00
_cell_angle_beta 112.04
_cell_angle_gamma 90.00
_space_group_name_H-M_alt 'C 1 2/m 1'
_space_group_IT_number 12
loop_
_space_group_symop_operation_xyz
'x,y,z'
'-x,-y,-z'
'-x,y,-z'
'x,-y,z'
'x+1/2,y+1/2,z'
'-x+1/2,-y+1/2,-z'
'-x+1/2,y+1/2,-z'
'x+1/2,-y+1/2,z'
loop_
_atom_site_label
_atom_site_fract_x
_atom_site_fract_y
_atom_site_fract_z
Sn1 0.208 0.150 0.223
Sn2 0.212 0.000 0.736
Te1 0.000 0.199 0.500
Te2 0.000 0.345 0.000
Te3 0.000 0.500 0.500
```

E_tot = -3.75 eV/atom
Energy relative to the elements, uncorrected = -13.73 kJ per mole of atoms

---

[4]
DFT (GGA-PBE) results for a geometry-optimized ZrSb2Br structure.

```
data_ZrSb2Br
_chemical_formula_sum 'Zr4 Sb8 Br4'
_cell_length_a 7.344
_cell_length_b 7.344
_cell_length_c 7.344
_cell_angle_alpha 90.00
_cell_angle_beta 90.00
_cell_angle_gamma 90.00
_space_group_name_H-M_alt 'F -4 3 m'
_space_group_IT_number 216
_space_group_name_Hall 'F -4 2 3'
loop_
_atom_site_label
_atom_site_fract_x
_atom_site_fract_y
_atom_site_fract_z
Zr1 0.000 0.000 0.000
Sb1 0.000 0.000 0.500
Sb2 0.250 0.250 0.750
Br1 0.250 0.250 0.250
```

E_tot = -4.63 eV/atom
Energy relative to the elements, uncorrected = -0.89 kJ per mole of atoms

---

Mass density / g cm⁻³: 7.98; 12.22; 6.34; 6.95